No. 1
Th2As2S: optimized geometry, PBE-GGA.

Calculated values
For the uncorrected energy, the calculation gives -70.4 eV per cell. Its symmetry is Cmc2_1 (36). For the uncorrected formation energy, the calculation gives -1.384 eV per atom.

The structure in POSCAR format:
```
Th2As2S
1.0
2.145 -8.499 0.000
2.145 8.499 0.000
0.000 0.000 7.356
Th As S
4 4 2
Cartesian
2.145 7.553 3.678
2.145 3.168 3.495
2.145 -3.168 7.174
2.145 -7.553 0.000
2.145 3.294 0.278
2.145 0.726 5.188
2.145 -0.726 1.510
2.145 -3.294 3.956
2.145 6.781 6.354
2.145 -6.781 2.676
```

No. 2
ThAsS: optimized geometry, PBE-GGA.

Calculated values
For the uncorrected energy, the calculation gives -19.6 eV per cell. Its symmetry is I4mm (107). For the uncorrected formation energy, the calculation gives -1.121 eV per atom.

The structure in POSCAR format:
```
ThAsS
1.0
-1.950 1.950 4.498
1.950 -1.950 4.498
1.950 1.950 -4.498
Th As S
1 1 1
Cartesian
0.000 0.000 0.000
0.000 0.000 3.185
0.000 0.000 5.768
```

Question: What is the uncorrected energy in the second record?
Answer: -19.6 eV per cell